1.
# ZnAsSe2N

ZnAsSe2N after structural relaxation (PBE, Alexandria).

a = 4.981 Å, b = 4.981 Å, c = 4.836 Å
α = 90.00°, β = 90.00°, γ = 90.00°
Space group P4/mmm (No. 123)
Unique sites:
Zn  0.000  0.000  0.000
As  0.000  0.000  0.500
Se  0.000  0.500  0.000
N  0.500  0.500  0.500

- density (g/cm3) = 4.321
- ΔE to the lowest computed polymorph (meV/atom) = 762
- formation energy from raw total energies (eV per atom) = 1.532
- total energy (eV/atom) = -2.7112


2.
# ZnAsSe2N

ZnAsSe2N after structural relaxation (PBE, Alexandria).

a = 5.037 Å, b = 5.037 Å, c = 3.662 Å
α = 90.00°, β = 90.00°, γ = 90.00°
Space group P4/mmm (No. 123)
Unique sites:
Zn  0.000  0.000  0.000
As  0.500  0.500  0.500
Se  0.000  0.500  0.000
N  0.000  0.000  0.500

- density (g/cm3) = 5.582
- ΔE to the lowest computed polymorph (meV/atom) = 157
- formation energy from raw total energies (eV per atom) = 0.928
- total energy (eV/atom) = -3.3161


3.
# ZnAsSe2N

ZnAsSe2N after structural relaxation (PBE, Alexandria).

a = 5.166 Å, b = 5.166 Å, c = 3.632 Å
α = 90.00°, β = 90.00°, γ = 90.00°
Space group P4/mmm (No. 123)
Unique sites:
Zn  0.000  0.000  0.000
As  0.500  0.500  0.500
Se  0.000  0.500  0.500
N  0.500  0.500  0.000

- density (g/cm3) = 5.349
- ΔE to the lowest computed polymorph (meV/atom) = 0
- formation energy from raw total energies (eV per atom) = 0.771
- total energy (eV/atom) = -3.4728


4.
# ZnAsSe2N

ZnAsSe2N after structural relaxation (PBE, Alexandria).

a = 4.577 Å, b = 4.577 Å, c = 4.211 Å
α = 90.00°, β = 90.00°, γ = 90.00°
Space group P4/mmm (No. 123)
Unique sites:
Zn  0.000  0.000  0.000
As  0.500  0.500  0.000
Se  0.000  0.500  0.500
N  0.500  0.500  0.500

- density (g/cm3) = 5.878
- ΔE to the lowest computed polymorph (meV/atom) = 96
- formation energy from raw total energies (eV per atom) = 0.866
- total energy (eV/atom) = -3.3772